Entry from Alexandria: a relaxed CeMg2AlHg4 crystal (PBE).

Cell and atoms, written as POSCAR:
```
CeMg2AlHg4
1.0
4.8642 0.0000 0.0000
2.4321 4.2125 0.0000
2.4321 1.4042 9.0392
Mg Hg Al Ce
2 4 1 1
direct
0.2428 0.2428 0.2715
0.7572 0.7572 0.7285
0.8737 0.8737 0.3788
0.6110 0.6110 0.1670
0.3890 0.3890 0.8330
0.1263 0.1263 0.6212
0.5000 0.5000 0.5000
0.0000 0.0000 0.0000
```

Results
N(E_F), states/eV/f.u.: 8.5
DFT formation energy, kJ/mol of formula units: -155